(1)
First-principles (PBE) data for In2CoRe after structural relaxation, as listed in Alexandria.

abc: 4.9718 4.9718 4.9718
angles: 131.31 131.34 71.30
Last column: magnetic moment on the atom in μB.
Fractional coordinates of all 4 atoms:
In (0.0000, 0.0000, 0.0000)  -0.02
In (0.5000, 0.5000, 0.0000)  -0.02
Co (0.2500, 0.7500, 0.5000)  1.29
Re (0.7500, 0.2500, 0.5000)  0.85

Properties
- Total moment: 2.164 μB/f.u.

***

(2)
First-principles (PBE) data for In2CoRe after structural relaxation, as listed in Alexandria.

abc: 2.8981 2.8981 8.7849
angles: 90.00 90.00 112.79
Last column: magnetic moment on the atom in μB.
Fractional coordinates of all 4 atoms:
In (0.0000, 0.0000, 0.9836)  -0.01
In (0.0000, 0.0000, 0.5164)  -0.01
Co (0.5000, 0.5000, 0.7500)  1.07
Re (0.5000, 0.5000, 0.2500)  -0.11

Properties
- Total moment: 0.886 μB/f.u.

***

Which structure is the most stable? The one labeled (2).

***

(1)
First-principles (PBE) data for In2CoRe after structural relaxation, as listed in Alexandria.

abc: 4.3548 2.8668 5.5016
angles: 82.62 90.00 90.00
Last column: magnetic moment on the atom in μB.
Fractional coordinates of all 4 atoms:
In (0.0000, 0.5770, 0.5066)  -0.01
In (0.0000, 0.9230, 0.9934)  -0.01
Co (0.5000, 0.7500, 0.7500)  0.99
Re (0.5000, 0.2500, 0.2500)  0.08

Properties
- Total moment: 1.014 μB/f.u.

***

(2)
First-principles (PBE) data for In2CoRe after structural relaxation, as listed in Alexandria.

abc: 4.7182 4.7182 5.2990
angles: 79.28 79.28 35.87
Last column: magnetic moment on the atom in μB.
Fractional coordinates of all 4 atoms:
Re (0.7500, 0.7500, 0.7500)  0.03
Co (0.2500, 0.2500, 0.2500)  0.90
In (0.5067, 0.5067, 0.4899)  -0.01
In (0.9933, 0.9933, 0.0101)  -0.01

Properties
- Total moment: 0.879 μB/f.u.

***

(3)
First-principles (PBE) data for In2CoRe after structural relaxation, as listed in Alexandria.

abc: 5.4229 5.4229 4.8897
angles: 68.63 68.63 30.68
Fractional coordinates of all 4 atoms:
In (0.9758, 0.9758, 0.0737)
In (0.7685, 0.7685, 0.6906)
Re (0.5321, 0.5321, 0.5390)
Co (0.2235, 0.2235, 0.1967)

Properties
- Total moment: 0.000 μB/f.u.

***

(4)
First-principles (PBE) data for In2CoRe after structural relaxation, as listed in Alexandria.

abc: 9.2660 9.2660 9.2660
angles: 18.52 18.52 18.52
Last column: magnetic moment on the atom in μB.
Fractional coordinates of all 4 atoms:
Re (0.4897, 0.4897, 0.4897)  0.08
In (0.0103, 0.0103, 0.0103)  -0.01
In (0.2438, 0.2438, 0.2438)  -0.01
Co (0.7562, 0.7562, 0.7562)  1.05

Properties
- Total moment: 1.108 μB/f.u.

***

Which structure is the most stable? The one labeled (3).

***

(1)
First-principles (PBE) data for InCoRh after structural relaxation, as listed in Alexandria.

abc: 4.1735 4.1735 4.1735
angles: 60.00 60.00 60.00
Last column: magnetic moment on the atom in μB.
Fractional coordinates of all 3 atoms:
Rh (0.5000, 0.5000, 0.5000)  0.66
In (0.0000, 0.0000, 0.0000)  -0.06
Co (0.2500, 0.2500, 0.2500)  1.42

Properties
- Total moment: 1.974 μB/f.u.

***

(2)
First-principles (PBE) data for InCoRh after structural relaxation, as listed in Alexandria.

abc: 4.8788 4.8788 4.8788
angles: 144.90 136.30 57.24
Last column: magnetic moment on the atom in μB.
Fractional coordinates of all 3 atoms:
Co (0.0091, 0.0091, 0.0000)  1.66
In (0.3345, 0.3345, 0.0000)  -0.04
Rh (0.6564, 0.6564, 0.0000)  0.48

Properties
- Total moment: 2.058 μB/f.u.

***

Which structure is the most stable? The one labeled (2).

***

(1)
First-principles (PBE) data for InCoRh after structural relaxation, as listed in Alexandria.

abc: 2.9093 2.9093 6.3838
angles: 90.00 90.00 120.00
Last column: magnetic moment on the atom in μB.
Fractional coordinates of all 3 atoms:
Rh (0.3333, 0.6667, 0.6842)  0.39
In (0.6667, 0.3333, 0.3283)  -0.05
Co (0.0000, 0.0000, 0.9875)  1.63

Properties
- Total moment: 1.902 μB/f.u.

***

(2)
First-principles (PBE) data for InCoRh after structural relaxation, as listed in Alexandria.

abc: 4.2987 4.2987 2.9139
angles: 90.00 90.00 120.00
Last column: magnetic moment on the atom in μB.
Fractional coordinates of all 3 atoms:
Rh (0.6667, 0.3333, 0.8337)  0.39
In (0.3333, 0.6667, 0.3331)  -0.04
Co (0.0000, 0.0000, 0.8333)  1.53

Properties
- Total moment: 1.848 μB/f.u.

***

(3)
First-principles (PBE) data for InCoRh after structural relaxation, as listed in Alexandria.

abc: 5.6580 5.6579 2.9444
angles: 74.92 74.91 30.16
Last column: magnetic moment on the atom in μB.
Fractional coordinates of all 3 atoms:
Co (0.9894, 0.9894, 0.0106)  1.54
In (0.6635, 0.6635, 0.3365)  -0.05
Rh (0.3472, 0.3472, 0.6528)  0.46

Properties
- Total moment: 1.890 μB/f.u.

***

Which structure is the most stable? The one labeled (3).

***

(1)
First-principles (PBE) data for In2Co2Rh after structural relaxation, as listed in Alexandria.

abc: 6.4057 6.4057 3.8677
angles: 90.00 90.00 90.00
Last column: magnetic moment on the atom in μB.
Fractional coordinates of all 10 atoms:
Co (0.3786, 0.8786, 0.0000)  0.79
Co (0.8786, 0.6214, 0.0000)  0.73
Co (0.1214, 0.3786, 0.0000)  0.73
Co (0.6214, 0.1214, 0.0000)  0.79
Rh (0.0000, 0.0000, 0.0000)  0.26
Rh (0.5000, 0.5000, 0.0000)  0.27
In (0.1803, 0.6803, 0.5000)  -0.04
In (0.6803, 0.8197, 0.5000)  -0.04
In (0.8197, 0.3197, 0.5000)  -0.04
In (0.3197, 0.1803, 0.5000)  -0.04

Properties
- Total moment: 1.630 μB/f.u.

***

(2)
First-principles (PBE) data for In2Co2Rh after structural relaxation, as listed in Alexandria.

abc: 4.8553 4.8553 5.0016
angles: 60.96 60.96 90.00
Last column: magnetic moment on the atom in μB.
Fractional coordinates of all 5 atoms:
Rh (0.0000, 0.0000, 0.0000)  0.20
Co (0.6448, 0.6448, 0.7104)  1.14
Co (0.3552, 0.3552, 0.2896)  1.14
In (0.7500, 0.2500, 0.5000)  -0.04
In (0.2500, 0.7500, 0.5000)  -0.04

Properties
- Total moment: 2.365 μB/f.u.

***

Which structure is the most stable? The one labeled (1).

***

(1)
First-principles (PBE) data for InCoRu after structural relaxation, as listed in Alexandria.

abc: 7.4373 2.9070 9.7690
angles: 90.00 121.23 90.00
Last column: magnetic moment on the atom in μB.
Fractional coordinates of all 12 atoms:
Co (0.8364, 0.5000, 0.8632)  0.72
Co (0.1636, 0.5000, 0.1368)  0.72
Co (0.1636, 0.0000, 0.6368)  0.72
Co (0.8364, 0.0000, 0.3632)  0.72
Ru (0.4601, 0.0000, 0.3416)  0.07
Ru (0.4601, 0.5000, 0.8416)  0.07
Ru (0.5399, 0.5000, 0.1584)  0.07
Ru (0.5399, 0.0000, 0.6584)  0.07
In (0.8170, 0.0000, 0.0840)  -0.03
In (0.1830, 0.0000, 0.9160)  -0.03
In (0.1830, 0.5000, 0.4160)  -0.03
In (0.8170, 0.5000, 0.5840)  -0.03

Properties
- Total moment: 0.741 μB/f.u.

***

(2)
First-principles (PBE) data for InCoRu after structural relaxation, as listed in Alexandria.

abc: 2.8187 13.5212 4.6809
angles: 90.00 90.00 90.00
Fractional coordinates of all 12 atoms:
Ru (0.5000, 0.2560, 0.9591)
Ru (0.5000, 0.7440, 0.4591)
Ru (0.0000, 0.2440, 0.4591)
Ru (0.0000, 0.7560, 0.9591)
Co (0.5000, 0.9010, 0.1192)
Co (0.0000, 0.4010, 0.1192)
Co (0.0000, 0.5990, 0.6192)
Co (0.5000, 0.0990, 0.6192)
In (0.5000, 0.5780, 0.1084)
In (0.0000, 0.0780, 0.1084)
In (0.0000, 0.9220, 0.6084)
In (0.5000, 0.4220, 0.6084)

Properties
- Total moment: 0.000 μB/f.u.

***

Which structure is the most stable? The one labeled (1).

***

(1)
First-principles (PBE) data for InCoRu after structural relaxation, as listed in Alexandria.

abc: 4.1495 4.1495 4.1495
angles: 60.00 60.00 60.00
Last column: magnetic moment on the atom in μB.
Fractional coordinates of all 3 atoms:
Co (0.2500, 0.2500, 0.2500)  1.17
Ru (0.5000, 0.5000, 0.5000)  0.95
In (0.0000, 0.0000, 0.0000)  -0.08

Properties
- Total moment: 2.015 μB/f.u.

***

(2)
First-principles (PBE) data for InCoRu after structural relaxation, as listed in Alexandria.

abc: 6.5763 2.9005 9.9957
angles: 90.00 107.85 90.00
Last column: magnetic moment on the atom in μB.
Fractional coordinates of all 12 atoms:
Co (0.8686, 0.0000, 0.7964)  1.34
Co (0.1314, 0.0000, 0.2036)  1.34
Co (0.8686, 0.5000, 0.2964)  1.34
Co (0.1314, 0.5000, 0.7036)  1.34
Ru (0.4522, 0.0000, 0.8421)  0.23
Ru (0.5478, 0.0000, 0.1579)  0.23
Ru (0.4522, 0.5000, 0.3421)  0.23
Ru (0.5478, 0.5000, 0.6579)  0.23
In (0.2100, 0.0000, 0.4842)  -0.03
In (0.7900, 0.0000, 0.5158)  -0.03
In (0.2100, 0.5000, 0.9842)  -0.03
In (0.7900, 0.5000, 0.0158)  -0.03

Properties
- Total moment: 1.510 μB/f.u.

***

(3)
First-principles (PBE) data for InCoRu after structural relaxation, as listed in Alexandria.

abc: 5.4235 2.9367 6.0385
angles: 90.00 102.02 90.00
Last column: magnetic moment on the atom in μB.
Fractional coordinates of all 6 atoms:
In (0.6700, 0.0000, 0.0433)  -0.03
In (0.1491, 0.5000, 0.9618)  -0.02
Co (0.0055, 0.5000, 0.3794)  0.91
Co (0.2991, 0.0000, 0.6244)  1.01
Ru (0.8118, 0.0000, 0.6288)  -0.04
Ru (0.4848, 0.5000, 0.3733)  0.01

Properties
- Total moment: 0.881 μB/f.u.

***

Which structure is the most stable? The one labeled (3).

***

(1)
First-principles (PBE) data for InCo2Ru2 after structural relaxation, as listed in Alexandria.

abc: 7.1153 7.1153 2.8118
angles: 90.00 90.00 90.00
Last column: magnetic moment on the atom in μB.
Fractional coordinates of all 10 atoms:
Ru (0.3288, 0.1712, 0.5000)  0.53
Ru (0.6712, 0.8288, 0.5000)  0.53
Ru (0.8288, 0.3288, 0.5000)  0.51
Ru (0.1712, 0.6712, 0.5000)  0.51
In (0.5000, 0.5000, 0.0000)  -0.01
In (0.0000, 0.0000, 0.0000)  -0.01
Co (0.6198, 0.1198, 0.0000)  1.21
Co (0.8802, 0.6198, 0.0000)  1.25
Co (0.1198, 0.3802, 0.0000)  1.25
Co (0.3802, 0.8802, 0.0000)  1.21

Properties
- Total moment: 3.506 μB/f.u.

***

(2)
First-principles (PBE) data for InCo2Ru2 after structural relaxation, as listed in Alexandria.

abc: 7.2335 7.2335 2.7652
angles: 90.00 90.00 90.00
Last column: magnetic moment on the atom in μB.
Fractional coordinates of all 10 atoms:
Co (0.8345, 0.3345, 0.5000)  1.21
Co (0.3345, 0.1655, 0.5000)  1.21
Co (0.6655, 0.8345, 0.5000)  1.21
Co (0.1655, 0.6655, 0.5000)  1.21
In (0.0000, 0.0000, 0.0000)  -0.01
In (0.5000, 0.5000, 0.0000)  -0.01
Ru (0.3732, 0.8732, 0.0000)  0.35
Ru (0.8732, 0.6268, 0.0000)  0.36
Ru (0.1268, 0.3732, 0.0000)  0.36
Ru (0.6268, 0.1268, 0.0000)  0.35

Properties
- Total moment: 3.110 μB/f.u.

***

Which structure is the most stable? The one labeled (1).